A plane-wave DFT calculation with SCAN was carried out for a crystal of Li2LaTe2 relaxed with PBEsol.

Geometry as POSCAR:
```
Li2LaTe2
1.0
-2.033 2.033 7.197
2.033 -2.033 7.197
2.033 2.033 -7.197
Li La Te
2 1 2
Cartesian
2.033 0.000 3.598
0.000 2.033 3.598
0.000 0.000 0.000
0.000 0.000 5.432
0.000 0.000 8.962
```

Computed properties:
Formation energy (no corrections) in eV per atom: -1.280
Space group: I4/mmm, No. 139